# 1
Below is crystalline Na3Dy3TiS8 at its relaxed geometry, with properties calculated at the PBE level.

Formation energy without anion corrections   -1.707 eV per atom
Electronic total energy   -5.619 eV per atom
Calculated density   4.05 Mg/m³
Crystal system   trigonal

Structure (CIF):
```
data_Na3Dy3TiS8
_cell_length_a 7.7731
_cell_length_b 7.7731
_cell_length_c 20.2530
_cell_angle_alpha 90.00
_cell_angle_beta 90.00
_cell_angle_gamma 120.00
_space_group_name_H-M_alt 'R -3 m'
_space_group_IT_number 166
_space_group_name_Hall '-R 3 2"'
loop_
_atom_site_label
_atom_site_type_symbol
_atom_site_fract_x
_atom_site_fract_y
_atom_site_fract_z
Na1 Na 0.0000 0.5000 0.0000
Dy1 Dy 0.0000 0.5000 0.5000
Ti1 Ti 0.0000 0.0000 0.5000
S1 S 0.0000 0.0000 0.2428
S2 S 0.0279 0.5140 0.2369
```

# 2
Below is crystalline Na2Dy2TiS6 at its relaxed geometry, with properties calculated at the PBE level.

Formation energy without anion corrections   -1.645 eV per atom
Electronic total energy   -5.690 eV per atom
Calculated density   3.94 Mg/m³
Crystal system   monoclinic

Structure (CIF):
```
data_Na2Dy2TiS6
_cell_length_a 6.6887
_cell_length_b 11.4078
_cell_length_c 7.1067
_cell_angle_alpha 90.00
_cell_angle_beta 108.17
_cell_angle_gamma 90.00
_space_group_name_H-M_alt 'C 1 2/m 1'
_space_group_IT_number 12
_space_group_name_Hall '-C 2y'
loop_
_atom_site_label
_atom_site_type_symbol
_atom_site_fract_x
_atom_site_fract_y
_atom_site_fract_z
Na1 Na 0.0000 0.1697 0.0000
Dy1 Dy 0.0000 0.3335 0.5000
Ti1 Ti 0.0000 0.0000 0.5000
S1 S 0.2253 0.1542 0.7153
S2 S 0.2300 0.0000 0.2879
```

What is the formula in the first record? Na3Dy3TiS8

What did the second record say?
Below is crystalline Na2Dy2TiS6 at its relaxed geometry, with properties calculated at the PBE level.

Formation energy without anion corrections   -1.645 eV per atom
Electronic total energy   -5.690 eV per atom
Calculated density   3.94 Mg/m³
Crystal system   monoclinic

Structure (CIF):
```
data_Na2Dy2TiS6
_cell_length_a 6.6887
_cell_length_b 11.4078
_cell_length_c 7.1067
_cell_angle_alpha 90.00
_cell_angle_beta 108.17
_cell_angle_gamma 90.00
_space_group_name_H-M_alt 'C 1 2/m 1'
_space_group_IT_number 12
_space_group_name_Hall '-C 2y'
loop_
_atom_site_label
_atom_site_type_symbol
_atom_site_fract_x
_atom_site_fract_y
_atom_site_fract_z
Na1 Na 0.0000 0.1697 0.0000
Dy1 Dy 0.0000 0.3335 0.5000
Ti1 Ti 0.0000 0.0000 0.5000
S1 S 0.2253 0.1542 0.7153
S2 S 0.2300 0.0000 0.2879
```